Below is an optimized crystal structure of ScCuPdW2, with properties calculated at the PBE level.

```
5
Lattice="-2.0722 -0.0141 -4.0333 4.0308 -0.1680 -2.0703 -0.1462 -4.6325 0.0914" Properties=species:S:1:pos:R:3 pbc="T T T"
Pd -0.0731 -2.3163 0.0457
Sc 0.9062 -2.4074 -3.0061
W -1.0361 -0.0071 -2.0166
W 2.0154 -0.0840 -1.0352
Cu 0.0000 0.0000 0.0000
```

Formation energy = 1197.2 meV per atom



Below is an optimized crystal structure of LiAcLa2, with properties calculated at the PBE level.

```
4
Lattice="-1.7830 1.6363 3.0064 0.7269 -5.1398 3.2286 5.3727 2.0578 2.0663" Properties=species:S:1:pos:R:3 pbc="T T T"
Ac 2.1583 -0.7228 4.1507
Li -0.8915 0.8182 1.5032
La 0.3635 -2.5699 1.6143
La 2.6863 1.0289 1.0331
```

Energy above the most stable polymorph in this dataset = 89 meV per atom
Formation energy = 144.4 meV per atom



Below is an optimized crystal structure of AcPm3Nd4, with properties calculated at the PBE level.

```
8
Lattice="-1.2330 -2.3782 2.5395 -3.3485 -2.4885 -3.9562 12.6113 -6.3488 -2.5051" Properties=species:S:1:pos:R:3 pbc="T T T"
Nd -0.1751 -4.2209 -1.3552
Nd 2.2485 -6.2977 -2.1232
Nd 8.2050 -6.9946 -2.5666
Nd 5.7813 -4.9179 -1.7985
Pm 4.9424 -8.6010 -2.9724
Pm -1.6742 -1.2443 -1.9781
Pm 3.0874 -2.6145 -0.9494
Ac -0.6165 -1.1891 1.2698
```

Energy above the most stable polymorph in this dataset = 159 meV per atom
Formation energy = 179.2 meV per atom



Below is an optimized crystal structure of Mn2Al8Fe, with properties calculated at the PBE level.

```
11
Lattice="3.9259 0.0000 0.0000 0.0000 5.2371 -0.2379 -1.9629 -2.5602 8.0914" Properties=species:S:1:pos:R:3 pbc="T T T"
Al 1.9629 2.1040 4.3150
Al 0.0000 3.9759 0.4004
Al 1.9629 4.4902 2.0814
Al 0.0000 -1.8134 5.7721
Al 0.0000 0.7780 6.3707
Al 1.9629 -1.2991 7.4531
Al 1.9629 1.8988 1.4828
Al 0.0000 0.5728 3.5384
Fe 1.9629 0.0000 0.0000
Mn 1.9629 -0.4952 4.8647
Mn 0.0000 3.1720 2.9888
```

Formation energy = -154.0 meV per atom



Below is an optimized crystal structure of HoO4, with properties calculated at the PBE level.

```
5
Lattice="-1.6048 -1.8094 3.7491 3.9545 -1.9181 0.7670 1.3008 3.5989 2.2937" Properties=species:S:1:pos:R:3 pbc="T T T"
O 0.0000 0.0000 0.0000
O 2.6276 0.8404 1.5304
O -0.1520 0.8948 3.0214
O 1.1748 -1.8638 2.2581
Ho 1.8252 -0.0643 3.4049
```

VASP energy = -26.81 eV for the cell shown



Below is an optimized crystal structure of SrSb2Pb, with properties calculated at the PBE level.

```
4
Lattice="-0.8330 4.4846 -2.3457 -2.1299 -2.4695 -3.9650 -4.1635 0.2990 2.0502" Properties=species:S:1:pos:R:3 pbc="T T T"
Sr -2.4982 2.3918 -0.1477
Sb 0.0000 0.0000 0.0000
Sb -1.4814 1.0076 -3.1553
Pb -3.1467 -1.0852 -0.9574
```

VASP energy = -15.36 eV for the cell shown



Below is an optimized crystal structure of AcI2ClO6, with properties calculated at the PBE level.

```
20
Lattice="-4.2319 0.3461 4.2581 -1.2620 -8.2131 1.8380 4.7132 0.6576 7.0554" Properties=species:S:1:pos:R:3 pbc="T T T"
I 0.7745 -6.0717 6.1697
I -1.5551 -1.1377 6.9818
I -0.8774 -3.4459 3.5970
I 0.0967 -3.7635 9.5546
O 0.9499 -4.0832 11.1602
O 0.2731 -4.8188 3.1199
O 0.7298 -7.7243 6.9913
O 0.2618 -2.0548 3.6829
O 0.2530 -1.5343 7.0790
O -1.0538 -2.3906 10.0316
O -2.0695 -2.2015 5.6240
O -1.0425 -5.1546 9.4686
O -1.7306 -3.1262 1.9914
O -1.0337 -5.6751 6.0725
O 1.2888 -5.0079 7.5276
O -1.5104 0.5149 6.1602
Ac -3.3839 -6.3918 5.9501
Ac 2.6033 -0.8176 7.2014
Cl 1.0874 0.2463 9.8544
Cl -1.8680 -7.4557 3.2971
```

VASP energy = -100.75 eV for the cell shown



Number 1: total magnetic moment 0.0 μB per formula unit. Number 2: total magnetic moment 0.0 μB per formula unit. Number 3: total magnetic moment 0.0 μB per formula unit. Number 4: total magnetic moment 2.5 μB per formula unit. Number 5: total magnetic moment 5.0 μB per formula unit. Number 6: total magnetic moment 0.0 μB per formula unit. Number 7: total magnetic moment 0.0 μB per formula unit.